# 1
# CdInAg | Alexandria | PBEsol | relaxed
data_CdInAg
_cell_length_a 3.1733
_cell_length_b 3.1733
_cell_length_c 6.9918
_cell_angle_alpha 90.00
_cell_angle_beta 90.00
_cell_angle_gamma 120.00
_space_group_name_H-M_alt 'P 3 m 1'
_space_group_IT_number 156
_space_group_name_Hall 'P 3 -2"'
loop_
_atom_site_label
_atom_site_type_symbol
_atom_site_fract_x
_atom_site_fract_y
_atom_site_fract_z
Cd1 Cd 0.0000 0.0000 0.0000
In1 In 0.3333 0.6667 0.6387
Ag1 Ag 0.6667 0.3333 0.3153
# E_tot = -7.5 eV per cell
# Density of states at the Fermi level = 0.92 states/eV per cell
# Formation energy from the elements = 0.012 eV/atom
# Density = 9.13 Mg/m³

# 2
# Cd2InAgS4 | Alexandria | PBEsol | relaxed
data_Cd2InAgS4
_cell_length_a 15.001
_cell_length_b 4.093
_cell_length_c 7.100
_cell_angle_alpha 90.00
_cell_angle_beta 117.20
_cell_angle_gamma 90.00
_space_group_name_H-M_alt 'C 1 m 1'
_space_group_IT_number 8
_space_group_name_Hall 'C -2y'
loop_
_atom_site_label
_atom_site_type_symbol
_atom_site_fract_x
_atom_site_fract_y
_atom_site_fract_z
Cd1 Cd 0.000 0.000 0.000
Cd2 Cd 0.008 0.500 0.526
In1 In 0.250 0.000 0.948
Ag1 Ag 0.255 0.500 0.423
S1 S 0.187 0.000 0.208
S2 S 0.200 0.500 0.714
S3 S 0.438 0.000 0.121
S4 S 0.441 0.500 0.613
# E_tot = -60.4 eV per cell
# Density of states at the Fermi level = 0.77 states/eV per cell
# Formation energy from raw total energies = -499 meV/atom
# Density = 4.93 Mg/m³

# 3
# Cd2In3Ag3Te8 | Alexandria | PBEsol | relaxed
data_Cd2In3Ag3Te8
_cell_length_a 6.606
_cell_length_b 6.606
_cell_length_c 12.999
_cell_angle_alpha 90.00
_cell_angle_beta 90.00
_cell_angle_gamma 90.00
_space_group_name_H-M_alt 'P -4'
_space_group_IT_number 81
_space_group_name_Hall 'P -4'
loop_
_atom_site_label
_atom_site_type_symbol
_atom_site_fract_x
_atom_site_fract_y
_atom_site_fract_z
Cd1 Cd 0.000 0.000 0.000
Cd2 Cd 0.500 0.500 0.000
In1 In 0.000 0.000 0.500
In2 In 0.000 0.500 0.750
Ag1 Ag 0.000 0.500 0.250
Ag2 Ag 0.500 0.500 0.500
Te1 Te 0.249 0.253 0.127
Te2 Te 0.251 0.745 0.375
# E_tot = -53.6 eV per cell
# Density of states at the Fermi level = 0.27 states/eV per cell
# Formation energy from raw total energies = -260 meV/atom
# Density = 5.60 Mg/m³

# 4
# CdInAgTe3 | Alexandria | PBEsol | relaxed
data_CdInAgTe3
_cell_length_a 15.063
_cell_length_b 4.554
_cell_length_c 6.441
_cell_angle_alpha 90.00
_cell_angle_beta 115.29
_cell_angle_gamma 90.00
_space_group_name_H-M_alt 'C 1 m 1'
_space_group_IT_number 8
_space_group_name_Hall 'C -2y'
loop_
_atom_site_label
_atom_site_type_symbol
_atom_site_fract_x
_atom_site_fract_y
_atom_site_fract_z
Cd1 Cd 0.000 0.000 0.000
In1 In 0.329 0.000 0.342
Ag1 Ag 0.165 0.500 0.656
Te1 Te 0.002 0.500 0.747
Te2 Te 0.163 0.000 0.424
Te3 Te 0.327 0.500 0.074
# E_tot = -39.3 eV per cell
# Density of states at the Fermi level = 0.40 states/eV per cell
# Formation energy from raw total energies = -266 meV/atom
# Density = 5.97 Mg/m³

# 5
# CdAg2Ir | Alexandria | PBEsol | relaxed
data_CdAg2Ir
_cell_length_a 2.804
_cell_length_b 4.794
_cell_length_c 4.926
_cell_angle_alpha 90.00
_cell_angle_beta 93.11
_cell_angle_gamma 90.00
_space_group_name_H-M_alt 'P 1 2/m 1'
_space_group_IT_number 10
_space_group_name_Hall '-P 2y'
loop_
_atom_site_label
_atom_site_type_symbol
_atom_site_fract_x
_atom_site_fract_y
_atom_site_fract_z
Cd1 Cd 0.000 0.000 0.000
Ag1 Ag 0.249 0.500 0.744
Ir1 Ir 0.500 0.000 0.500
# E_tot = -16.6 eV per cell
# Density of states at the Fermi level = 3.28 states/eV per cell
# Formation energy from the elements = 0.269 eV/atom
# Density = 13.07 Mg/m³

# 6
# CdAg2Ir | Alexandria | PBEsol | relaxed
data_CdAg2Ir
_cell_length_a 4.039
_cell_length_b 4.039
_cell_length_c 8.028
_cell_angle_alpha 90.00
_cell_angle_beta 90.00
_cell_angle_gamma 90.00
_space_group_name_H-M_alt 'I 4/m m m'
_space_group_IT_number 139
_space_group_name_Hall '-I 4 2'
loop_
_atom_site_label
_atom_site_type_symbol
_atom_site_fract_x
_atom_site_fract_y
_atom_site_fract_z
Cd1 Cd 0.000 0.000 0.000
Ag1 Ag 0.000 0.500 0.250
Ir1 Ir 0.000 0.000 0.500
# E_tot = -33.2 eV per cell
# Density of states at the Fermi level = 4.95 states/eV per cell
# Formation energy from the elements = 0.265 eV/atom
# Density = 13.19 Mg/m³

# 7
# Cd2AgIrRu | Alexandria | PBEsol | relaxed
data_Cd2AgIrRu
_cell_length_a 5.039
_cell_length_b 5.039
_cell_length_c 4.597
_cell_angle_alpha 90.00
_cell_angle_beta 90.00
_cell_angle_gamma 90.00
_space_group_name_H-M_alt 'P 4/m m m'
_space_group_IT_number 123
_space_group_name_Hall '-P 4 2'
loop_
_atom_site_label
_atom_site_type_symbol
_atom_site_fract_x
_atom_site_fract_y
_atom_site_fract_z
Cd1 Cd 0.000 0.500 0.000
Ag1 Ag 0.000 0.000 0.500
Ir1 Ir 0.500 0.500 0.000
Ru1 Ru 0.500 0.500 0.500
# E_tot = -20.2 eV per cell
# Density of states at the Fermi level = 4.90 states/eV per cell
# Formation energy from the elements = 1.094 eV/atom
# Density = 8.90 Mg/m³

# 8
# KCdAg | Alexandria | PBEsol | relaxed
data_KCdAg
_cell_length_a 7.524
_cell_length_b 7.524
_cell_length_c 7.524
_cell_angle_alpha 90.00
_cell_angle_beta 90.00
_cell_angle_gamma 90.00
_space_group_name_H-M_alt 'F -4 3 m'
_space_group_IT_number 216
_space_group_name_Hall 'F -4 2 3'
loop_
_atom_site_label
_atom_site_type_symbol
_atom_site_fract_x
_atom_site_fract_y
_atom_site_fract_z
K1 K 0.000 0.000 0.000
Cd1 Cd 0.250 0.250 0.250
Ag1 Ag 0.250 0.250 0.750
# E_tot = -16.3 eV per cell
# E above lowest polymorph = 45.22 kJ/mol of atoms
# Density of states at the Fermi level = 2.62 states/eV per cell
# Formation energy from the elements = 0.518 eV/atom
# Density = 4.05 Mg/m³

# 9
# KCdAg4 | Alexandria | PBEsol | relaxed
data_KCdAg4
_cell_length_a 7.887
_cell_length_b 7.887
_cell_length_c 7.887
_cell_angle_alpha 90.00
_cell_angle_beta 90.00
_cell_angle_gamma 90.00
_space_group_name_H-M_alt 'F -4 3 m'
_space_group_IT_number 216
_space_group_name_Hall 'F -4 2 3'
loop_
_atom_site_label
_atom_site_type_symbol
_atom_site_fract_x
_atom_site_fract_y
_atom_site_fract_z
K1 K 0.000 0.000 0.000
Cd1 Cd 0.250 0.250 0.750
Ag1 Ag 0.124 0.124 0.376
# E_tot = -61.2 eV per cell
# Density of states at the Fermi level = 7.87 states/eV per cell
# Formation energy from the elements = 0.046 eV/atom
# Density = 7.89 Mg/m³

# 10
# KCdAg | Alexandria | PBEsol | relaxed
data_KCdAg
_cell_length_a 3.714
_cell_length_b 3.714
_cell_length_c 12.077
_cell_angle_alpha 90.00
_cell_angle_beta 90.00
_cell_angle_gamma 90.00
_space_group_name_H-M_alt 'I 4 m m'
_space_group_IT_number 107
_space_group_name_Hall 'I 4 -2'
loop_
_atom_site_label
_atom_site_type_symbol
_atom_site_fract_x
_atom_site_fract_y
_atom_site_fract_z
K1 K 0.000 0.000 0.000
Cd1 Cd 0.000 0.000 0.285
Ag1 Ag 0.000 0.000 0.710
# E_tot = -10.9 eV per cell
# E above lowest polymorph = 0.98 kJ/mol of atoms
# Density of states at the Fermi level = 2.05 states/eV per cell
# Formation energy from the elements = 0.060 eV/atom
# Density = 5.17 Mg/m³

# 11
# KCdAg | Alexandria | PBEsol | relaxed
data_KCdAg
_cell_length_a 4.8200
_cell_length_b 4.8200
_cell_length_c 4.3808
_cell_angle_alpha 90.00
_cell_angle_beta 90.00
_cell_angle_gamma 120.00
_space_group_name_H-M_alt 'P -6 m 2'
_space_group_IT_number 187
_space_group_name_Hall 'P -6 2'
loop_
_atom_site_label
_atom_site_type_symbol
_atom_site_fract_x
_atom_site_fract_y
_atom_site_fract_z
K1 K 0.0000 0.0000 0.0000
Cd1 Cd 0.6667 0.3333 0.5000
Ag1 Ag 0.3333 0.6667 0.5000
# E_tot = -5.4 eV per cell
# E above lowest polymorph = 2.33 kJ/mol of atoms
# Density of states at the Fermi level = 1.12 states/eV per cell
# Formation energy from the elements = 0.074 eV/atom
# Density = 4.89 Mg/m³

# 12
# KCd2Ag2 | Alexandria | PBEsol | relaxed
data_KCd2Ag2
_cell_length_a 4.905
_cell_length_b 4.905
_cell_length_c 10.561
_cell_angle_alpha 90.00
_cell_angle_beta 90.00
_cell_angle_gamma 90.00
_space_group_name_H-M_alt 'I 4/m m m'
_space_group_IT_number 139
_space_group_name_Hall '-I 4 2'
loop_
_atom_site_label
_atom_site_type_symbol
_atom_site_fract_x
_atom_site_fract_y
_atom_site_fract_z
K1 K 0.000 0.000 0.000
Cd1 Cd 0.000 0.000 0.368
Ag1 Ag 0.000 0.500 0.250
# E_tot = -19.7 eV per cell
# E above lowest polymorph = 8.36 kJ/mol of atoms
# Density of states at the Fermi level = 3.88 states/eV per cell
# Formation energy from the elements = 0.058 eV/atom
# Density = 6.27 Mg/m³

# 13
# KCd2Ag2 | Alexandria | PBEsol | relaxed
data_KCd2Ag2
_cell_length_a 8.634
_cell_length_b 8.634
_cell_length_c 2.905
_cell_angle_alpha 90.00
_cell_angle_beta 90.00
_cell_angle_gamma 90.00
_space_group_name_H-M_alt 'P 4/m b m'
_space_group_IT_number 127
_space_group_name_Hall '-P 4 2ab'
loop_
_atom_site_label
_atom_site_type_symbol
_atom_site_fract_x
_atom_site_fract_y
_atom_site_fract_z
K1 K 0.000 0.000 0.000
Cd1 Cd 0.124 0.376 0.000
Ag1 Ag 0.171 0.671 0.500
# E_tot = -20.6 eV per cell
# E above lowest polymorph = 0.00 kJ/mol of atoms
# Density of states at the Fermi level = 3.39 states/eV per cell
# Formation energy from the elements = -0.029 eV/atom
# Density = 7.36 Mg/m³

# 14
# KCdAg | Alexandria | PBEsol | relaxed
data_KCdAg
_cell_length_a 3.030
_cell_length_b 4.444
_cell_length_c 11.907
_cell_angle_alpha 90.00
_cell_angle_beta 90.00
_cell_angle_gamma 90.00
_space_group_name_H-M_alt 'I m m 2'
_space_group_IT_number 44
_space_group_name_Hall 'I 2 -2'
loop_
_atom_site_label
_atom_site_type_symbol
_atom_site_fract_x
_atom_site_fract_y
_atom_site_fract_z
K1 K 0.000 0.000 0.000
Cd1 Cd 0.000 0.000 0.285
Ag1 Ag 0.000 0.000 0.713
# E_tot = -11.0 eV per cell
# E above lowest polymorph = 0.00 kJ/mol of atoms
# Density of states at the Fermi level = 2.66 states/eV per cell
# Formation energy from the elements = 0.049 eV/atom
# Density = 5.37 Mg/m³